Record 1
DFT (PBE) results for a geometry-optimized Ta2IrRu structure.

Summary:
total DFT energy (no corrections) = -10.779 eV/atom
magnetization = 0.0 μB per formula unit
energy relative to the elements = -31 kJ per mole of atoms
N(E_F) = 1.17 states/eV/atom
calculated volume = 16.26 Å³ per atom

Lattice parameters (Å, degrees): 4.725 4.725 2.913 90.00 90.00 90.00
Fractional positions:
Ta (0.000, 0.500, 0.000)
Ta (0.500, 0.000, 0.000)
Ir (0.000, 0.000, 0.500)
Ru (0.500, 0.500, 0.500)


Record 2
DFT (PBE) results for a geometry-optimized SnBiSb structure.

Summary:
total DFT energy (no corrections) = -3.950 eV/atom
magnetization = 0.0 μB per formula unit
N(E_F) = 0.52 states/eV/atom
calculated volume = 31.54 Å³ per atom

Lattice parameters (Å, degrees): 4.464 4.464 9.496 90.00 90.00 90.00
Fractional positions:
Sn (0.250, 0.250, 0.153)
Sn (0.750, 0.750, 0.847)
Bi (0.250, 0.250, 0.489)
Bi (0.750, 0.750, 0.511)
Sb (0.250, 0.250, 0.832)
Sb (0.750, 0.750, 0.168)